No. 1
# Al4ReIr

Al4ReIr after structural relaxation (PBE, Alexandria).

Properties
M_tot (μB per formula unit): 0.000
VASP energy (eV per atom): -5.9449

Unit cell a=7.003 b=7.003 c=7.003 alpha=90.00 beta=90.00 gamma=90.00
Space group F-43m (No. 216)
Unique sites:
Al1 0.125 0.125 0.125 (multiplicity 16)
Re1 0.000 0.000 0.500 (multiplicity 4)
Ir1 0.250 0.250 0.750 (multiplicity 4)

No. 2
# Ca3Zn3Cu

Ca3Zn3Cu after structural relaxation (PBE, Alexandria).

Properties
M_tot (μB per formula unit): 0.000
VASP energy (eV per atom): -2.2187

Unit cell a=10.843 b=4.441 c=14.799 alpha=90.00 beta=110.30 gamma=90.00
Space group C2/m (No. 12)
Unique sites:
Ca1 0.037 0.000 0.387 (multiplicity 4)
Ca2 0.107 0.000 0.921 (multiplicity 4)
Ca3 0.245 0.500 0.764 (multiplicity 4)
Zn1 0.053 0.500 0.239 (multiplicity 4)
Zn2 0.101 0.500 0.079 (multiplicity 4)
Zn3 0.140 0.500 0.540 (multiplicity 4)
Cu1 0.246 0.500 0.399 (multiplicity 4)